[1]
NaPaGaO6 after structural relaxation. Source: Alexandria, functional PBE.

The calculation puts the magnetic moment at 0.34 μB per atom. For the uncorrected energy, the calculation gives -6.654 eV/atom. For the calculated volume, the calculation gives 124 Å³/f.u. The value obtained for the formation energy (no corrections) is -1.81 eV per atom.

a b c (Å): 5.5209 5.5209 4.6836
angles (deg): 90.00 90.00 120.00
With the nearest neighbours (Å) after each atom.
Atoms (fractional coordinates):
Na1 0.0000 0.0000 0.0000  6 O 2.39
Pa1 0.6667 0.3333 0.5000  6 O 2.17
Ga1 0.3333 0.6667 0.0000  6 O 1.99
O1 0.0132 0.3908 0.2333  1 Ga 1.99, 1 Pa 2.17
O2 0.0132 0.6224 0.7667  1 Ga 1.99, 1 Pa 2.17
O3 0.3776 0.3908 0.7667  1 Ga 1.99, 1 Pa 2.17
O4 0.3776 0.9868 0.2333  1 Ga 1.99, 1 Pa 2.17
O5 0.6092 0.6224 0.2333  1 Ga 1.99, 1 Pa 2.17
O6 0.6092 0.9868 0.7667  1 Ga 1.99, 1 Pa 2.17

[2]
UGaCuTc after structural relaxation. Source: Alexandria, functional PBE.

For the formation energy from the elements, the calculation gives 0.104 eV/atom. The calculation puts the magnetic moment at 0.37 μB per atom. For the uncorrected energy, the calculation gives -7.090 eV/atom. For the calculated volume, the calculation gives 68 Å³/f.u.

a b c (Å): 4.5811 4.5811 4.5811
angles (deg): 60.00 60.00 60.00
With the nearest neighbours (Å) after each atom.
Atoms (fractional coordinates):
U1 0.0000 0.0000 0.0000  4 Tc 2.81, 4 Cu 2.81
Ga1 0.5000 0.5000 0.5000  4 Tc 2.81, 4 Cu 2.81
Cu1 0.7500 0.7500 0.7500  4 U 2.81, 4 Ga 2.81
Tc1 0.2500 0.2500 0.2500  4 U 2.81, 4 Ga 2.81

[3]
ReNi after structural relaxation. Source: Alexandria, functional PBE.

For the formation energy from the elements, the calculation gives 1.711 eV/atom. The calculation puts the magnetic moment at 0.00 μB per atom. For the uncorrected energy, the calculation gives -7.404 eV/atom. For the calculated volume, the calculation gives 49 Å³/f.u.

a b c (Å): 6.3443 6.3443 6.3443
angles (deg): 109.47 109.47 109.47
With the nearest neighbours (Å) after each atom.
Atoms (fractional coordinates):
Re1 0.0000 0.0000 0.2524  4 Ni 2.31-2.43
Re2 0.0000 0.2524 0.0000  4 Ni 2.31-2.43
Re3 0.2524 0.0000 0.0000  4 Ni 2.31-2.43
Re4 0.7476 0.7476 0.7476  4 Ni 2.31-2.43
Ni1 0.0000 0.0000 0.6162  4 Re 2.31-2.43
Ni2 0.0000 0.6162 0.0000  4 Re 2.31-2.43
Ni3 0.3838 0.3838 0.3838  4 Re 2.31-2.43
Ni4 0.6162 0.0000 0.0000  4 Re 2.31-2.43

[4]
La3Cd4 after structural relaxation. Source: Alexandria, functional PBE.

For the formation energy from the elements, the calculation gives -0.193 eV/atom. The calculation puts the magnetic moment at 0.01 μB per atom. For the uncorrected energy, the calculation gives -2.827 eV/atom. For the calculated volume, the calculation gives 207 Å³/f.u. For the excess energy over the best structure of this formula in the dataset, the calculation gives 0.000 eV/f.u.

a b c (Å): 13.0292 13.0292 13.0292
angles (deg): 162.19 162.19 25.29
With the nearest neighbours (Å) after each atom.
Atoms (fractional coordinates):
La1 0.0000 0.0000 0.0000  10 Cd 3.40-3.43
La2 0.2948 0.2948 0.0000  5 Cd 3.37, 4 La 3.65
La3 0.7052 0.7052 0.0000  5 Cd 3.37, 4 La 3.65
Cd1 0.1349 0.1349 0.0000  4 Cd 3.26, 5 La 3.37-3.43
Cd2 0.4271 0.4271 0.0000  4 Cd 3.26, 5 La 3.37-3.40
Cd3 0.5729 0.5729 0.0000  4 Cd 3.26, 5 La 3.37-3.40
Cd4 0.8651 0.8651 0.0000  4 Cd 3.26, 5 La 3.37-3.43

[5]
GaNiIrC after structural relaxation. Source: Alexandria, functional PBE.

For the formation energy from the elements, the calculation gives 0.238 eV/atom. The calculation puts the magnetic moment at 0.00 μB per atom. For the uncorrected energy, the calculation gives -6.486 eV/atom. For the calculated volume, the calculation gives 57 Å³/f.u. For the excess energy over the best structure of this formula in the dataset, the calculation gives 0.456 eV/f.u.

a b c (Å): 3.9859 5.0794 5.0794
angles (deg): 33.92 90.00 90.00
With the nearest neighbours (Å) after each atom.
Atoms (fractional coordinates):
Ga1 0.0000 0.0000 0.0000  2 Ir 2.52, 4 Ni 2.62
Ni1 0.5000 0.4150 0.4150  2 C 1.94
Ir1 0.5000 0.1585 0.1585  2 C 1.93
C1 0.5000 0.7858 0.7858  2 Ir 1.93, 2 Ni 1.94

[6]
Tb5SmAl4 after structural relaxation. Source: Alexandria, functional PBE.

For the formation energy from the elements, the calculation gives -0.308 eV/atom. The calculation puts the magnetic moment at 0.00 μB per atom. For the uncorrected energy, the calculation gives -4.592 eV/atom. For the calculated volume, the calculation gives 256 Å³/f.u.

a b c (Å): 3.5921 3.5921 19.8475
angles (deg): 90.00 90.00 90.00
With the nearest neighbours (Å) after each atom.
Atoms (fractional coordinates):
Tb1 0.0000 0.0000 0.0000  8 Al 3.13
Tb2 0.0000 0.0000 0.1843  8 Al 3.13-3.14
Tb3 0.0000 0.0000 0.3692  4 Al 3.13
Tb4 0.0000 0.0000 0.6308  4 Al 3.13
Tb5 0.0000 0.0000 0.8157  8 Al 3.13-3.14
Sm1 0.5000 0.5000 0.5000  4 Sm 3.59, 8 Tb 3.63
Al1 0.5000 0.5000 0.0924  8 Tb 3.13
Al2 0.5000 0.5000 0.2775  8 Tb 3.13-3.14
Al3 0.5000 0.5000 0.7225  8 Tb 3.13-3.14
Al4 0.5000 0.5000 0.9076  8 Tb 3.13

[7]
Pm3Pr after structural relaxation. Source: Alexandria, functional PBE.

For the formation energy from the elements, the calculation gives 0.030 eV/atom. The calculation puts the magnetic moment at 0.00 μB per atom. For the uncorrected energy, the calculation gives -4.728 eV/atom. For the calculated volume, the calculation gives 141 Å³/f.u. For the excess energy over the best structure of this formula in the dataset, the calculation gives 0.069 eV/f.u.

a b c (Å): 7.4213 7.4213 5.9126
angles (deg): 90.00 90.00 120.00
With the nearest neighbours (Å) after each atom.
Atoms (fractional coordinates):
Pm1 0.1664 0.3328 0.2500  8 Pm 3.65-3.72, 4 Pr 3.65-3.71
Pm2 0.1664 0.8336 0.2500  8 Pm 3.65-3.72, 4 Pr 3.65-3.71
Pm3 0.3328 0.1664 0.7500  8 Pm 3.65-3.72, 4 Pr 3.65-3.71
Pm4 0.6672 0.8336 0.2500  8 Pm 3.65-3.72, 4 Pr 3.65-3.71
Pm5 0.8336 0.1664 0.7500  8 Pm 3.65-3.72, 4 Pr 3.65-3.71
Pm6 0.8336 0.6672 0.7500  8 Pm 3.65-3.72, 4 Pr 3.65-3.71
Pr1 0.3333 0.6667 0.7500  12 Pm 3.65-3.71
Pr2 0.6667 0.3333 0.2500  12 Pm 3.65-3.71

[8]
Tb2Pm3Cd after structural relaxation. Source: Alexandria, functional PBE.

For the formation energy from the elements, the calculation gives -0.029 eV/atom. The calculation puts the magnetic moment at 0.00 μB per atom. For the uncorrected energy, the calculation gives -4.100 eV/atom. For the calculated volume, the calculation gives 186 Å³/f.u. For the excess energy over the best structure of this formula in the dataset, the calculation gives 0.374 eV/f.u.

a b c (Å): 6.1307 6.1307 11.4105
angles (deg): 90.00 90.00 60.24
With the nearest neighbours (Å) after each atom.
Atoms (fractional coordinates):
Tb1 0.0000 0.3383 0.2500  6 Pm 3.51-3.54, 3 Cd 3.51-3.58, 3 Tb 3.52-3.59
Tb2 0.0000 0.6617 0.7500  6 Pm 3.51-3.54, 3 Cd 3.51-3.58, 3 Tb 3.52-3.59
Tb3 0.3383 0.0000 0.7500  6 Pm 3.51-3.54, 3 Cd 3.51-3.58, 3 Tb 3.52-3.59
Tb4 0.6617 0.0000 0.2500  6 Pm 3.51-3.54, 3 Cd 3.51-3.58, 3 Tb 3.52-3.59
Pm1 0.0000 0.0000 0.0000  2 Cd 3.49, 6 Pm 3.51-3.61, 4 Tb 3.53
Pm2 0.0000 0.0000 0.5000  2 Cd 3.49, 6 Pm 3.51-3.61, 4 Tb 3.53
Pm3 0.3400 0.3400 0.0000  6 Pm 3.39-3.62, 2 Cd 3.48, 4 Tb 3.51-3.54
Pm4 0.3400 0.3400 0.5000  6 Pm 3.39-3.62, 2 Cd 3.48, 4 Tb 3.51-3.54
Pm5 0.6600 0.6600 0.0000  6 Pm 3.39-3.62, 2 Cd 3.48, 4 Tb 3.51-3.54
Pm6 0.6600 0.6600 0.5000  6 Pm 3.39-3.62, 2 Cd 3.48, 4 Tb 3.51-3.54
Cd1 0.3281 0.6719 0.2500  6 Pm 3.48-3.49, 6 Tb 3.51-3.58
Cd2 0.6719 0.3281 0.7500  6 Pm 3.48-3.49, 6 Tb 3.51-3.58

[9]
DyLuAgRu after structural relaxation. Source: Alexandria, functional PBE.

For the formation energy from the elements, the calculation gives -0.388 eV/atom. The calculation puts the magnetic moment at 0.00 μB per atom. For the uncorrected energy, the calculation gives -5.700 eV/atom. For the calculated volume, the calculation gives 84 Å³/f.u.

a b c (Å): 4.9102 4.9102 4.9102
angles (deg): 60.00 60.00 60.00
With the nearest neighbours (Å) after each atom.
Atoms (fractional coordinates):
Dy1 0.0000 0.0000 0.0000  4 Ru 3.01, 4 Ag 3.01
Lu1 0.5000 0.5000 0.5000  4 Ag 3.01, 4 Ru 3.01
Ag1 0.7500 0.7500 0.7500  4 Dy 3.01, 4 Lu 3.01
Ru1 0.2500 0.2500 0.2500  4 Lu 3.01, 4 Dy 3.01

[10]
PmNdBiS after structural relaxation. Source: Alexandria, functional PBE.

The calculation puts the magnetic moment at 0.00 μB per atom. For the uncorrected energy, the calculation gives -5.752 eV/atom. For the calculated volume, the calculation gives 116 Å³/f.u. The value obtained for the formation energy (no corrections) is -1.37 eV per atom.

a b c (Å): 7.7780 7.7780 7.7780
angles (deg): 31.72 31.72 31.72
With the nearest neighbours (Å) after each atom.
Atoms (fractional coordinates):
Pm1 0.0000 0.0000 0.0000  3 S 2.88
Nd1 0.1900 0.1900 0.1900  3 S 2.97, 3 Bi 3.24
Bi1 0.4279 0.4279 0.4279  3 Pm 3.23, 3 Nd 3.24
S1 0.5989 0.5989 0.5989  3 Pm 2.88, 3 Nd 2.97

[11]
Cs2NiS2 after structural relaxation. Source: Alexandria, functional PBE.

The calculation puts the magnetic moment at 0.00 μB per atom. For the uncorrected energy, the calculation gives -3.964 eV/atom. For the calculated volume, the calculation gives 192 Å³/f.u. The value obtained for the formation energy (no corrections) is -0.82 eV per atom.

a b c (Å): 8.2444 8.2444 10.4908
angles (deg): 129.49 129.49 48.96
With the nearest neighbours (Å) after each atom.
Atoms (fractional coordinates):
Cs1 0.1207 0.1207 0.4055  4 S 3.41-3.60
Cs2 0.2773 0.2773 0.1784  4 S 3.34-3.71
Cs3 0.7227 0.7227 0.8216  4 S 3.34-3.71
Cs4 0.8793 0.8793 0.5945  4 S 3.41-3.60
Ni1 0.4724 0.4724 0.8591  3 S 2.12-2.13
Ni2 0.5276 0.5276 0.1409  3 S 2.12-2.13
S1 0.3438 0.3438 0.8843  2 Ni 2.12
S2 0.4244 0.4244 0.6144  1 Ni 2.13
S3 0.5756 0.5756 0.3856  1 Ni 2.13
S4 0.6562 0.6562 0.1157  2 Ni 2.12

[12]
Zn2InTc after structural relaxation. Source: Alexandria, functional PBE.

For the formation energy from the elements, the calculation gives 0.077 eV/atom. The calculation puts the magnetic moment at 0.00 μB per atom. For the uncorrected energy, the calculation gives -3.836 eV/atom. For the calculated volume, the calculation gives 64 Å³/f.u.

a b c (Å): 5.1640 5.1640 5.1640
angles (deg): 136.65 136.65 62.97
With the nearest neighbours (Å) after each atom.
Atoms (fractional coordinates):
Zn1 0.0000 0.0000 0.0000  4 In 2.70, 4 Tc 2.91, 4 Zn 2.91
Zn2 0.7500 0.2500 0.5000  4 Tc 2.70, 4 In 2.91, 4 Zn 2.91
In1 0.5000 0.5000 0.0000  8 Zn 2.70-2.91, 4 Tc 2.91
Tc1 0.2500 0.7500 0.5000  8 Zn 2.70-2.91, 4 In 2.91

Q: Which of these has the highest uncorrected energy?
A: La3Cd4